PuMg2MnO8: relaxed, PBE+U.

a = 6.5149 Å, b = 6.8249 Å, c = 6.2304 Å
α = 90.00°, β = 90.00°, γ = 90.00°
Space group Cmmm (No. 65)
One atom of each set of equivalent atoms:
Pu: 0.0000 0.0000 0.0000 [2 per cell]
Mg: 0.0000 0.5000 0.2631 [4 per cell]
Mn: 0.0000 0.0000 0.5000 [2 per cell]
O: 0.0000 0.1878 0.2600 [8 per cell]
O: 0.2033 0.5000 0.0000 [4 per cell]
O: 0.2156 0.5000 0.5000 [4 per cell]

Calculated values
crystal system = orthorhombic
total energy = -7.38 eV/atom